KZn5Cd7: optimized geometry, PBE.

Cell lengths 7.631, 7.631, 7.631 Å; angles 139.34, 97.44, 96.42 degrees
Fractional coordinates of all 13 atoms:
K 0.000 0.000 0.000
Zn 0.512 0.006 0.010
Zn 0.512 0.503 0.507
Zn 0.776 0.276 0.500
Zn 0.996 0.006 0.493
Zn 0.996 0.503 0.990
Cd 0.212 0.503 0.709
Cd 0.220 0.720 0.500
Cd 0.354 0.003 0.351
Cd 0.356 0.356 0.000
Cd 0.652 0.003 0.649
Cd 0.657 0.657 0.000
Cd 0.793 0.503 0.291

Output
Fermi-level density of states ... 0.302 states/eV/atom
Total magnetization ... 0.0 μB per formula unit
Calculated total energy ... -1.0699 eV/atom
V ... 20.9 Å³/atom

K2ZnCd: optimized geometry, PBE.

Cell lengths 4.237, 4.237, 8.491 Å; angles 90.00, 90.00, 90.00 degrees
Fractional coordinates of all 4 atoms:
K 0.000 0.000 0.242
K 0.000 0.000 0.758
Zn 0.500 0.500 0.000
Cd 0.500 0.500 0.500

Output
Fermi-level density of states ... 0.600 states/eV/atom
Total magnetization ... 0.0 μB per formula unit
Calculated total energy ... -0.9934 eV/atom
V ... 38.1 Å³/atom

KZn2Cd: optimized geometry, PBE.

Cell lengths 5.735, 5.735, 5.735 Å; angles 130.73, 130.73, 72.24 degrees
Fractional coordinates of all 4 atoms:
K 0.000 0.000 0.000
Zn 0.250 0.750 0.500
Zn 0.500 0.500 0.000
Cd 0.750 0.250 0.500

Output
Fermi-level density of states ... 0.498 states/eV/atom
Total magnetization ... 0.0 μB per formula unit
Calculated total energy ... -0.9249 eV/atom
V ... 26.5 Å³/atom

KZn2Cd: optimized geometry, PBE.

Cell lengths 5.857, 5.857, 3.202 Å; angles 90.00, 90.00, 108.79 degrees
Fractional coordinates of all 4 atoms:
K 0.000 0.000 0.000
Zn 0.000 0.500 0.500
Zn 0.500 0.000 0.500
Cd 0.500 0.500 0.000

Output
Fermi-level density of states ... 0.406 states/eV/atom
Total magnetization ... 0.0 μB per formula unit
Calculated total energy ... -0.8875 eV/atom
V ... 26.0 Å³/atom

KZn2Cd: optimized geometry, PBE.

Cell lengths 4.571, 4.571, 6.802 Å; angles 109.74, 109.74, 60.28 degrees
Fractional coordinates of all 4 atoms:
K 0.000 0.000 0.000
Zn 0.189 0.189 0.572
Zn 0.517 0.517 0.557
Cd 0.807 0.807 0.427

Output
Fermi-level density of states ... 0.481 states/eV/atom
Total magnetization ... 0.0 μB per formula unit
Calculated total energy ... -1.1447 eV/atom
V ... 28.4 Å³/atom

KZn2Cd: optimized geometry, PBE.

Cell lengths 4.860, 4.860, 4.508 Å; angles 90.00, 90.00, 90.00 degrees
Fractional coordinates of all 4 atoms:
K 0.000 0.000 0.000
Zn 0.000 0.500 0.500
Zn 0.500 0.000 0.500
Cd 0.500 0.500 0.000

Output
Fermi-level density of states ... 0.409 states/eV/atom
Total magnetization ... 0.0 μB per formula unit
Calculated total energy ... -0.9204 eV/atom
V ... 26.6 Å³/atom

K2ZnCd2: optimized geometry, PBE.

Cell lengths 7.535, 7.535, 5.846 Å; angles 90.00, 90.00, 90.00 degrees
Fractional coordinates of all 10 atoms:
K 0.178 0.322 0.000
K 0.322 0.822 0.000
K 0.678 0.178 0.000
K 0.822 0.678 0.000
Zn 0.000 0.000 0.500
Zn 0.500 0.500 0.500
Cd 0.141 0.641 0.500
Cd 0.359 0.141 0.500
Cd 0.641 0.859 0.500
Cd 0.859 0.359 0.500

Output
Fermi-level density of states ... 0.543 states/eV/atom
Total magnetization ... 0.0 μB per formula unit
Calculated total energy ... -1.0288 eV/atom
V ... 33.2 Å³/atom

K2ZnCd2: optimized geometry, PBE.

Cell lengths 10.945, 10.945, 10.945 Å; angles 157.93, 157.93, 31.41 degrees
Fractional coordinates of all 5 atoms:
K 0.102 0.102 0.000
K 0.898 0.898 0.000
Zn 0.500 0.500 0.000
Cd 0.250 0.750 0.500
Cd 0.750 0.250 0.500

Output
Fermi-level density of states ... 0.309 states/eV/atom
Total magnetization ... 0.0 μB per formula unit
Calculated total energy ... -0.9744 eV/atom
V ... 37.0 Å³/atom

The lowest Fermi-level density of states belongs to which entry?
KZn5Cd7

Among the records above, which one has the lowest Fermi-level density of states?
KZn5Cd7